SiW3N: optimized geometry, GGA-PBE.

Cell: 4.097 4.097 4.097 Å, 90.00 90.00 90.00°
Space group Pm-3m (No. 221)
Symmetry-distinct sites (fractional):
Si  0.000  0.000  0.000
W  0.000  0.500  0.500
N  0.500  0.500  0.500

Results
- DOS at the Fermi energy: 3.06 states/eV/f.u.
- Formation energy from raw total energies: 14.63 kJ/mol of atoms
- Electronic total energy: -10.370 eV/atom



SiWN: optimized geometry, GGA-PBE.

Cell: 11.302 2.928 4.353 Å, 90.00 90.38 90.00°
Space group Cm (No. 8)
Symmetry-distinct sites (fractional):
Si  0.000  0.000  0.000
Si  0.106  0.500  0.485
W  0.210  0.000  0.863
W  0.314  0.500  0.361
N  0.352  0.500  0.852
N  0.466  0.000  0.285

Results
- Formation energy from raw total energies: -16.19 kJ/mol of atoms
- Electronic total energy: -9.068 eV/atom



Look up the electronic total energy of the second one. -9.068 eV/atom